A plane-wave DFT calculation with PBE was carried out for Tm3Mg2Ag after structural relaxation.

Values from the calculation:
**Formation energy**: -0.9 eV/f.u.
**Space-group type**: No. 123
**Magnetization**: 0.000 μB per atom
**Crystal system**: tetragonal
**Fermi-level density of states**: 6.20 states/eV/f.u.

a = 3.707 Å, b = 3.707 Å, c = 10.972 Å
α = 90.00°, β = 90.00°, γ = 90.00°
Element x y z (fractional)
Tm1 0.000 0.000 0.000
Tm2 0.000 0.000 0.343
Tm3 0.000 0.000 0.657
Mg1 0.500 0.500 0.168
Mg2 0.500 0.500 0.832
Ag1 0.500 0.500 0.500